Entry 1:
Entry from Alexandria: Rb4Pr3ZrS8 after structural relaxation (GGA-PBE).

Values from the calculation:
Crystal system: trigonal
VASP energy, eV/cell: -86.88
Formation energy from raw total energies, eV per atom: -1.694

Cell and atoms, written as POSCAR:
```
Rb4Pr3ZrS8
1.0
-4.538 -2.764 -6.351
-1.219 -7.908 4.313
-2.260 6.878 4.020
Rb Pr Zr S
4 3 1 8
direct
0.500 0.000 0.000
0.500 0.000 0.500
0.000 0.000 0.000
0.000 0.000 0.500
0.500 0.500 0.000
0.500 0.500 0.500
0.000 0.500 0.500
0.000 0.500 0.000
0.220 0.694 0.974
0.220 0.694 0.439
0.265 0.296 0.530
0.754 0.694 0.974
0.246 0.306 0.026
0.735 0.704 0.470
0.780 0.306 0.561
0.780 0.306 0.026
```

Entry 2:
Entry from Alexandria: Rb2Pr2ZrS6 after structural relaxation (GGA-PBE).

Values from the calculation:
Crystal system: monoclinic
VASP energy, eV/cell: -63.96
Formation energy from raw total energies, eV per atom: -1.742

Cell and atoms, written as POSCAR:
```
Rb2Pr2ZrS6
1.0
7.033 0.017 0.062
-3.462 6.122 0.062
-1.275 -2.192 7.826
Rb Pr Zr S
2 2 1 6
direct
0.830 0.170 0.000
0.170 0.830 0.000
0.334 0.666 0.500
0.666 0.334 0.500
0.000 0.000 0.500
0.761 0.761 0.688
0.063 0.372 0.689
0.239 0.239 0.312
0.372 0.063 0.689
0.937 0.628 0.311
0.628 0.937 0.311
```

Entry 3:
Entry from Alexandria: RbPrSb after structural relaxation (GGA-PBE).

Values from the calculation:
Crystal system: trigonal
VASP energy, eV/cell: -23.11
Formation energy from raw total energies, eV per atom: -0.562

Cell and atoms, written as POSCAR:
```
RbPrSb
1.0
5.244 0.000 0.000
2.622 4.541 0.000
2.622 1.514 13.471
Pr Rb Sb
2 2 2
direct
0.303 0.303 0.091
0.697 0.697 0.909
0.112 0.112 0.665
0.888 0.888 0.335
0.385 0.385 0.844
0.615 0.615 0.156
```

Entry 4:
Entry from Alexandria: Rb3Pr3SbSe8 after structural relaxation (GGA-PBE).

Values from the calculation:
Crystal system: trigonal
VASP energy, eV/cell: -70.23
Formation energy from raw total energies, eV per atom: -1.399

Cell and atoms, written as POSCAR:
```
Rb3Pr3SbSe8
1.0
8.652 0.000 0.000
-4.326 7.493 -0.032
0.000 -4.966 8.200
Rb Pr Sb Se
3 3 1 8
direct
0.000 0.000 0.000
0.000 0.500 0.000
0.500 0.500 0.000
0.500 0.000 0.500
0.500 0.500 0.500
0.000 0.500 0.500
0.000 0.000 0.500
0.266 0.532 0.298
0.734 0.468 0.702
0.778 0.557 0.307
0.222 0.443 0.693
0.778 0.029 0.308
0.222 0.971 0.692
0.250 0.029 0.308
0.750 0.971 0.692
```

Entry 5:
Entry from Alexandria: Rb2PrSbSe4 after structural relaxation (GGA-PBE).

Values from the calculation:
Crystal system: orthorhombic
VASP energy, eV/cell: -68.17
Formation energy from raw total energies, eV per atom: -1.164

Cell and atoms, written as POSCAR:
```
Rb2PrSbSe4
1.0
-5.289 7.300 0.346
-1.524 -0.682 -8.865
-1.627 -7.047 5.441
Rb Pr Sb Se
4 2 2 8
direct
0.500 0.000 0.000
0.500 0.000 0.500
0.000 0.000 0.500
0.500 0.500 0.000
0.000 0.500 0.000
0.000 0.500 0.500
0.500 0.500 0.500
0.000 0.000 0.000
0.203 0.741 0.972
0.759 0.297 0.528
0.241 0.703 0.472
0.797 0.259 0.028
0.764 0.736 0.965
0.764 0.736 0.535
0.236 0.264 0.465
0.236 0.264 0.035
```

Entry 6:
Entry from Alexandria: Rb3PrSb2Se6 after structural relaxation (GGA-PBE).

Values from the calculation:
Crystal system: monoclinic
VASP energy, eV/cell: -49.14
Formation energy from raw total energies, eV per atom: -1.025

Cell and atoms, written as POSCAR:
```
Rb3PrSb2Se6
1.0
7.499 -0.001 0.000
-3.749 6.494 0.000
-1.251 -2.166 8.002
Rb Pr Sb Se
3 1 2 6
direct
0.166 0.834 0.500
0.834 0.166 0.500
0.500 0.500 0.500
0.000 0.000 0.000
0.333 0.667 0.000
0.667 0.333 0.000
0.934 0.593 0.802
0.725 0.725 0.198
0.066 0.407 0.198
0.593 0.934 0.802
0.275 0.275 0.802
0.407 0.066 0.198
```

Entry 7:
Entry from Alexandria: Rb3Pr2SbTe6 after structural relaxation (GGA-PBE).

Values from the calculation:
Crystal system: monoclinic
VASP energy, eV/cell: -48.71
Formation energy from raw total energies, eV per atom: -1.106

Cell and atoms, written as POSCAR:
```
Rb3Pr2SbTe6
1.0
-6.552 4.576 -1.037
1.744 -5.804 -5.313
-3.001 -5.153 6.685
Rb Pr Sb Te
3 2 1 6
direct
0.168 0.832 0.500
0.832 0.168 0.500
0.500 0.500 0.500
0.334 0.666 0.000
0.666 0.334 0.000
0.000 0.000 0.000
0.933 0.609 0.798
0.744 0.744 0.202
0.067 0.391 0.202
0.609 0.933 0.798
0.256 0.256 0.798
0.391 0.067 0.202
```

Entry 8:
Entry from Alexandria: Rb2PrSbTe4 after structural relaxation (GGA-PBE).

Values from the calculation:
Crystal system: orthorhombic
VASP energy, eV/cell: -61.58
Formation energy from raw total energies, eV per atom: -0.924

Cell and atoms, written as POSCAR:
```
Rb2PrSbTe4
1.0
9.617 -0.002 -0.106
-0.009 9.617 -0.106
-4.769 -4.772 6.903
Rb Pr Sb Te
4 2 2 8
direct
0.500 0.000 0.000
0.500 0.000 0.500
0.000 0.000 0.500
0.500 0.500 0.000
0.000 0.500 0.000
0.000 0.500 0.500
0.500 0.500 0.500
0.000 0.000 0.000
0.205 0.743 0.974
0.757 0.295 0.526
0.243 0.705 0.474
0.795 0.257 0.026
0.763 0.737 0.964
0.763 0.737 0.536
0.237 0.263 0.464
0.237 0.263 0.036
```

Entry 9:
Entry from Alexandria: Rb3PrSc2Se6 after structural relaxation (GGA-PBE).

Values from the calculation:
Crystal system: monoclinic
VASP energy, eV/cell: -60.70
Formation energy from raw total energies, eV per atom: -1.621

Cell and atoms, written as POSCAR:
```
Rb3PrSc2Se6
1.0
7.223 -0.001 -0.003
-3.611 6.255 -0.003
-1.207 -2.091 7.971
Rb Pr Sc Se
3 1 2 6
direct
0.162 0.838 0.500
0.838 0.162 0.500
0.500 0.500 0.500
0.000 0.000 0.000
0.333 0.667 0.000
0.667 0.333 0.000
0.936 0.581 0.809
0.709 0.709 0.190
0.064 0.419 0.191
0.581 0.936 0.809
0.291 0.291 0.810
0.419 0.064 0.191
```

Entry 10:
Entry from Alexandria: Rb3Pr3ScSe8 after structural relaxation (GGA-PBE).

Values from the calculation:
Crystal system: monoclinic
VASP energy, eV/cell: -75.53
Formation energy from raw total energies, eV per atom: -1.605

Cell and atoms, written as POSCAR:
```
Rb3Pr3ScSe8
1.0
8.560 0.001 0.001
-4.279 7.417 -0.033
0.000 -4.914 8.221
Rb Pr Sc Se
3 3 1 8
direct
0.000 0.000 0.000
0.000 0.500 0.000
0.500 0.500 0.000
0.500 0.000 0.500
0.500 0.500 0.500
0.000 0.500 0.500
0.000 0.000 0.500
0.265 0.530 0.296
0.735 0.470 0.704
0.781 0.562 0.310
0.219 0.438 0.690
0.781 0.029 0.310
0.219 0.971 0.690
0.247 0.029 0.310
0.753 0.971 0.690
```

Entry 11:
Entry from Alexandria: Rb3Pr2ScTe6 after structural relaxation (GGA-PBE).

Values from the calculation:
Crystal system: monoclinic
VASP energy, eV/cell: -53.74
Formation energy from raw total energies, eV per atom: -1.341

Cell and atoms, written as POSCAR:
```
Rb3Pr2ScTe6
1.0
7.924 -0.002 -0.003
-3.962 6.863 -0.003
-1.324 -2.293 8.550
Rb Pr Sc Te
3 2 1 6
direct
0.172 0.828 0.500
0.828 0.172 0.500
0.500 0.500 0.500
0.334 0.666 0.000
0.666 0.334 0.000
0.000 0.000 0.000
0.934 0.620 0.801
0.754 0.754 0.201
0.066 0.380 0.199
0.620 0.934 0.801
0.246 0.246 0.799
0.380 0.066 0.199
```

Entry 12:
Entry from Alexandria: RbPr3Se4 after structural relaxation (GGA-PBE).

Values from the calculation:
Crystal system: hexagonal
VASP energy, eV/cell: -86.98
Formation energy from raw total energies, eV per atom: -1.781

Cell and atoms, written as POSCAR:
```
RbPr3Se4
1.0
-3.150 -2.488 1.631
3.766 -1.779 -1.195
10.819 4.379 27.569
Pr Se Rb
6 8 2
direct
0.000 0.000 0.000
0.000 0.000 0.500
0.333 0.667 0.885
0.667 0.333 0.115
0.667 0.333 0.385
0.333 0.667 0.615
0.667 0.333 0.942
0.333 0.667 0.058
0.333 0.667 0.442
0.667 0.333 0.558
0.000 0.000 0.830
0.000 0.000 0.170
0.000 0.000 0.330
0.000 0.000 0.670
0.667 0.333 0.750
0.333 0.667 0.250
```

Entry 13:
Entry from Alexandria: RbPr6Se8 after structural relaxation (GGA-PBE).

Values from the calculation:
Crystal system: trigonal
VASP energy, eV/cell: -83.37
Formation energy from raw total energies, eV per atom: -1.724

Cell and atoms, written as POSCAR:
```
RbPr6Se8
1.0
4.346 0.000 0.000
0.000 11.552 0.000
0.000 -5.776 10.004
Rb Pr Se
1 6 8
direct
0.500 0.000 0.000
0.751 0.521 0.659
0.751 0.341 0.862
0.751 0.138 0.479
0.249 0.479 0.341
0.249 0.659 0.138
0.249 0.862 0.521
0.748 0.640 0.954
0.748 0.046 0.686
0.748 0.314 0.360
0.252 0.360 0.046
0.252 0.954 0.314
0.252 0.686 0.640
0.749 0.667 0.333
0.251 0.333 0.667
```

Entry 14:
Entry from Alexandria: Rb3Pr2SmSe6 after structural relaxation (GGA-PBE).

Values from the calculation:
Crystal system: monoclinic
VASP energy, eV/cell: -58.89
Formation energy from raw total energies, eV per atom: -1.734

Cell and atoms, written as POSCAR:
```
Rb3Pr2SmSe6
1.0
-6.196 4.365 -0.391
-0.316 -7.246 -2.235
0.145 -1.248 8.324
Rb Pr Sm Se
3 2 1 6
direct
0.168 0.832 0.500
0.832 0.168 0.500
0.500 0.500 0.500
0.333 0.667 0.000
0.667 0.333 0.000
0.000 0.000 0.000
0.933 0.604 0.799
0.738 0.738 0.201
0.067 0.396 0.201
0.604 0.933 0.799
0.262 0.262 0.799
0.396 0.067 0.201
```

Entry 15:
Entry from Alexandria: Rb4Pr3SmSe8 after structural relaxation (GGA-PBE).

Values from the calculation:
Crystal system: trigonal
VASP energy, eV/cell: -78.53
Formation energy from raw total energies, eV per atom: -1.733

Cell and atoms, written as POSCAR:
```
Rb4Pr3SmSe8
1.0
-6.210 2.073 5.847
-3.091 -8.980 -0.099
8.458 1.361 1.912
Rb Pr Sm Se
4 3 1 8
direct
0.500 0.000 0.000
0.500 0.000 0.500
0.000 0.000 0.000
0.000 0.000 0.500
0.500 0.500 0.000
0.500 0.500 0.500
0.000 0.500 0.500
0.000 0.500 0.000
0.232 0.701 0.970
0.232 0.701 0.463
0.266 0.297 0.531
0.738 0.701 0.970
0.262 0.299 0.030
0.734 0.703 0.469
0.768 0.299 0.537
0.768 0.299 0.030
```

Entry 16:
Entry from Alexandria: Rb4Pr3SnSe8 after structural relaxation (GGA-PBE).

Values from the calculation:
Crystal system: trigonal
VASP energy, eV/cell: -73.53
Formation energy from raw total energies, eV per atom: -1.465

Cell and atoms, written as POSCAR:
```
Rb4Pr3SnSe8
1.0
8.765 0.000 0.000
0.000 9.473 0.491
-4.383 -4.378 6.201
Rb Pr Sn Se
4 3 1 8
direct
0.500 0.000 0.000
0.500 0.000 0.500
0.000 0.000 0.000
0.000 0.000 0.500
0.500 0.500 0.000
0.500 0.500 0.500
0.000 0.500 0.500
0.000 0.500 0.000
0.229 0.699 0.970
0.229 0.699 0.459
0.265 0.297 0.531
0.740 0.699 0.970
0.260 0.301 0.030
0.735 0.703 0.469
0.771 0.301 0.541
0.771 0.301 0.030
```

Entry 17:
Entry from Alexandria: Rb3Pr3SnSe8 after structural relaxation (GGA-PBE).

Values from the calculation:
Crystal system: trigonal
VASP energy, eV/cell: -70.44
Formation energy from raw total energies, eV per atom: -1.421

Cell and atoms, written as POSCAR:
```
Rb3Pr3SnSe8
1.0
8.621 -0.001 0.001
-4.311 7.467 -0.034
0.001 -4.945 8.237
Rb Pr Sn Se
3 3 1 8
direct
0.000 0.000 0.000
0.000 0.500 0.000
0.500 0.500 0.000
0.500 0.000 0.500
0.500 0.500 0.500
0.000 0.500 0.500
0.000 0.000 0.500
0.266 0.532 0.299
0.734 0.468 0.701
0.781 0.562 0.308
0.219 0.438 0.692
0.781 0.027 0.308
0.219 0.973 0.692
0.246 0.027 0.308
0.754 0.973 0.692
```

Entry 18:
Entry from Alexandria: Rb4Pr3TaSe8 after structural relaxation (GGA-PBE).

Values from the calculation:
Crystal system: trigonal
VASP energy, eV/cell: -80.75
Formation energy from raw total energies, eV per atom: -1.426

Cell and atoms, written as POSCAR:
```
Rb4Pr3TaSe8
1.0
8.540 0.000 0.000
0.000 9.414 0.610
-4.270 -4.266 6.042
Rb Pr Ta Se
4 3 1 8
direct
0.500 0.000 0.000
0.500 0.000 0.500
0.000 0.000 0.000
0.000 0.000 0.500
0.500 0.500 0.000
0.500 0.500 0.500
0.000 0.500 0.500
0.000 0.500 0.000
0.217 0.694 0.977
0.218 0.695 0.435
0.264 0.292 0.528
0.760 0.694 0.977
0.240 0.306 0.023
0.736 0.708 0.472
0.782 0.305 0.565
0.783 0.306 0.023
```

Entry 19:
Entry from Alexandria: Rb3Pr3TaSe8 after structural relaxation (GGA-PBE).

Values from the calculation:
Crystal system: trigonal
VASP energy, eV/cell: -78.98
Formation energy from raw total energies, eV per atom: -1.467

Cell and atoms, written as POSCAR:
```
Rb3Pr3TaSe8
1.0
-8.365 -0.876 1.031
4.381 -5.870 -4.261
1.161 0.092 9.497
Rb Pr Ta Se
3 3 1 8
direct
0.000 0.000 0.000
0.000 0.500 0.000
0.500 0.500 0.000
0.500 0.000 0.500
0.500 0.500 0.500
0.000 0.500 0.500
0.000 0.000 0.500
0.265 0.529 0.294
0.735 0.471 0.706
0.788 0.576 0.313
0.212 0.424 0.687
0.788 0.024 0.313
0.212 0.976 0.687
0.236 0.024 0.313
0.764 0.976 0.687
```